(1)
! BeHgW2 PBEsol relaxed; values from VASP
! Excess energy over the best structure of this formula in the dataset, meV/atom: 5
! Calculated formation energy, eV per atom: 0.515
! DOS at the Fermi energy, states/eV/cell: 1.98
! Crystal system: tetragonal
&SYSTEM
  ibrav = 0, nat = 4, ntyp = 3
/
ATOMIC_SPECIES
Be 9.01 Be.upf
Hg 200.59 Hg.upf
W 183.84 W.upf
CELL_PARAMETERS angstrom
2.723 0.000 0.000
0.000 2.723 0.000
0.000 0.000 8.141
ATOMIC_POSITIONS angstrom
Be 0.000 0.000 0.000
Hg 1.361 1.361 1.893
W 0.000 0.000 4.228
W 1.361 1.361 6.449



(2)
! Na3Zn PBEsol relaxed; values from VASP
! Calculated formation energy, eV per atom: 0.121
! DOS at the Fermi energy, states/eV/cell: 1.74
! Crystal system: cubic
&SYSTEM
  ibrav = 0, nat = 4, ntyp = 2
/
ATOMIC_SPECIES
Na 22.99 Na.upf
Zn 65.41 Zn.upf
CELL_PARAMETERS angstrom
4.765 0.000 0.000
0.000 4.765 0.000
0.000 0.000 4.765
ATOMIC_POSITIONS angstrom
Na 0.000 0.000 2.383
Na 0.000 2.383 0.000
Na 2.383 0.000 0.000
Zn 2.383 2.383 2.383



(3)
! Li4TaTc PBEsol relaxed; values from VASP
! Calculated formation energy, eV per atom: 0.477
! DOS at the Fermi energy, states/eV/cell: 4.64
! Crystal system: cubic
&SYSTEM
  ibrav = 0, nat = 6, ntyp = 3
/
ATOMIC_SPECIES
Li 6.94 Li.upf
Ta 180.95 Ta.upf
Tc 98.00 Tc.upf
CELL_PARAMETERS angstrom
0.000 3.382 3.382
3.382 0.000 3.382
3.382 3.382 0.000
ATOMIC_POSITIONS angstrom
Li 0.835 0.835 0.835
Li 2.547 2.547 0.835
Li 2.547 0.835 2.547
Li 0.835 2.547 2.547
Ta 3.382 3.382 3.382
Tc 5.073 5.073 5.073



(4)
! Sr2TiMn PBEsol relaxed; values from VASP
! Calculated formation energy, eV per atom: 0.986
! DOS at the Fermi energy, states/eV/cell: 10.44
! Crystal system: cubic
&SYSTEM
  ibrav = 0, nat = 4, ntyp = 3
/
ATOMIC_SPECIES
Sr 87.62 Sr.upf
Ti 47.87 Ti.upf
Mn 54.94 Mn.upf
CELL_PARAMETERS angstrom
0.000 3.910 3.910
3.910 0.000 3.910
3.910 3.910 0.000
ATOMIC_POSITIONS angstrom
Sr 1.955 1.955 1.955
Sr 5.864 5.864 5.864
Ti 0.000 0.000 0.000
Mn 3.910 3.910 3.910



no.,final energy (eV per atom)
1,-7.53
2,-1.32
3,-4.80
4,-4.46